i.
DFT (PBE) results for Sm12Dy2Er5 after structural relaxation.

Cell and atoms, written as POSCAR:
```
Sm12Dy2Er5
1.0
-4.4155 3.0122 8.8226
-4.2427 -5.3248 -6.3358
2.5358 -6.6552 3.5413
Er Sm Dy
5 12 2
direct
0.7557 0.5114 0.4889 Er
0.2443 0.4886 0.5111 Er
0.6517 0.3035 0.9117 Er
0.3483 0.6965 0.0883 Er
0.0000 0.0000 0.5000 Er
0.9593 0.3816 0.2053 Sm
0.6207 0.7882 0.3885 Sm
0.1675 0.7882 0.3885 Sm
0.8548 0.7096 0.1168 Sm
0.3793 0.2118 0.6115 Sm
0.4478 0.8956 0.7100 Sm
0.5522 0.1044 0.2900 Sm
0.1452 0.2904 0.8832 Sm
0.5776 0.6184 0.7947 Sm
0.0407 0.6184 0.7947 Sm
0.8325 0.2118 0.6115 Sm
0.4224 0.3816 0.2053 Sm
0.2531 0.0000 0.0000 Dy
0.7469 0.0000 0.0000 Dy
```


ii.
DFT (PBE) results for Sm12Dy2Er5 after structural relaxation.

Cell and atoms, written as POSCAR:
```
Sm12Dy2Er5
1.0
11.6364 0.0000 0.0000
-5.8182 8.8552 0.8344
0.0000 -1.9175 5.8773
Sm Er Dy
12 5 2
direct
0.4547 0.3947 0.1993 Sm
0.6477 0.7929 0.3836 Sm
0.8793 0.7587 0.0000 Sm
0.5562 0.1125 0.2739 Sm
0.4438 0.8875 0.7261 Sm
0.0600 0.6053 0.8007 Sm
0.3523 0.2071 0.6164 Sm
0.1452 0.7929 0.3836 Sm
0.8548 0.2071 0.6164 Sm
0.1207 0.2413 0.0000 Sm
0.9400 0.3947 0.1993 Sm
0.5453 0.6053 0.8007 Sm
0.6775 0.3551 0.8604 Er
0.0000 0.0000 0.5000 Er
0.7847 0.5694 0.4474 Er
0.2153 0.4306 0.5526 Er
0.3225 0.6449 0.1396 Er
0.7710 0.0000 0.0000 Dy
0.2290 0.0000 0.0000 Dy
```


Name the least stable of them. i.


i.
DFT (PBE) results for Sm3Dy2Er3 after structural relaxation.

Cell and atoms, written as POSCAR:
```
Sm3Dy2Er3
1.0
5.0277 0.0000 0.0000
0.0000 5.0360 0.0000
-2.5139 -2.5180 10.0799
Dy Er Sm
2 3 3
direct
0.2495 0.7495 0.4991 Dy
0.7505 0.2505 0.5009 Dy
0.3742 0.3742 0.7484 Er
0.5000 0.0000 0.0000 Er
0.6258 0.6258 0.2516 Er
0.8752 0.8752 0.7504 Sm
0.1248 0.1248 0.2496 Sm
0.0000 0.5000 0.0000 Sm
```


ii.
DFT (PBE) results for Sm3Dy2Er3 after structural relaxation.

Cell and atoms, written as POSCAR:
```
Sm3Dy2Er3
1.0
5.8179 0.0000 -1.0947
-0.3578 5.5971 -1.9015
-1.4475 -0.4026 8.3146
Sm Dy Er
3 2 3
direct
0.6269 0.1269 0.2538 Sm
0.3731 0.8731 0.7462 Sm
0.5000 0.5000 0.0000 Sm
0.7513 0.7512 0.5026 Dy
0.2487 0.2488 0.4974 Dy
0.1243 0.6243 0.2486 Er
0.8757 0.3757 0.7514 Er
0.0000 0.0000 0.0000 Er
```


Name the least stable of them. ii.


i.
DFT (PBE) results for Sm8Dy2Er after structural relaxation.

Cell and atoms, written as POSCAR:
```
Sm8Dy2Er
1.0
-3.8265 -8.2174 -1.9479
-3.4945 -8.1906 4.7377
-8.8358 -4.7868 0.8710
Sm Dy Er
8 2 1
direct
0.6182 0.6900 0.6900 Sm
0.1371 0.7875 0.3498 Sm
0.1371 0.3498 0.7875 Sm
0.8629 0.2125 0.6502 Sm
0.8629 0.6502 0.2125 Sm
0.2741 0.6749 0.6749 Sm
0.3818 0.3100 0.3100 Sm
0.7259 0.3251 0.3251 Sm
0.6580 0.8579 0.8579 Dy
0.3420 0.1421 0.1421 Dy
0.0000 0.0000 0.0000 Er
```


ii.
DFT (PBE) results for Sm8Dy2Er after structural relaxation.

Cell and atoms, written as POSCAR:
```
Sm8Dy2Er
1.0
6.3065 1.7855 1.3548
2.1470 9.5817 3.0358
2.1470 5.5037 8.4104
Sm Dy Er
8 2 1
direct
0.7271 0.5921 0.5921 Sm
0.2288 0.8253 0.3493 Sm
0.7712 0.1747 0.6507 Sm
0.7712 0.6507 0.1747 Sm
0.8277 0.2444 0.2444 Sm
0.1723 0.7556 0.7556 Sm
0.2729 0.4079 0.4079 Sm
0.2288 0.3493 0.8253 Sm
0.4092 0.1977 0.1977 Dy
0.5908 0.8023 0.8023 Dy
0.0000 0.0000 0.0000 Er
```


Name the least stable of them. ii.


i.
DFT (PBE) results for Sm2Dy3Er after structural relaxation.

Cell and atoms, written as POSCAR:
```
Sm2Dy3Er
1.0
5.6398 0.0000 0.0000
-2.8199 8.4337 -1.1405
0.0000 -4.3912 8.6451
Er Sm Dy
2 4 6
direct
0.8749 0.7498 0.8686 Er
0.1251 0.2502 0.1314 Er
0.7494 0.4987 0.0731 Sm
0.5015 0.0031 0.8358 Sm
0.2506 0.5013 0.9269 Sm
0.4985 0.9969 0.1642 Sm
0.3756 0.7513 0.3817 Dy
0.2503 0.5005 0.5903 Dy
0.0015 0.0030 0.6690 Dy
0.6244 0.2487 0.6183 Dy
0.7497 0.4995 0.4098 Dy
0.9985 0.9970 0.3310 Dy
```


ii.
DFT (PBE) results for Sm2Dy3Er after structural relaxation.

Cell and atoms, written as POSCAR:
```
Sm2Dy3Er
1.0
3.8506 1.9309 4.1572
1.9947 10.3284 6.2696
-0.3359 2.8360 11.9083
Dy Sm Er
6 4 2
direct
0.4376 0.6847 0.8518 Dy
0.2500 0.3908 0.6092 Dy
0.7500 0.6092 0.3908 Dy
0.9376 0.8518 0.6847 Dy
0.0624 0.1482 0.3153 Dy
0.5624 0.3153 0.1482 Dy
0.3475 0.4153 0.8512 Sm
0.8475 0.8512 0.4153 Sm
0.1525 0.1488 0.5847 Sm
0.6525 0.5847 0.1488 Sm
0.5000 0.0000 0.0000 Er
0.0000 0.0000 0.0000 Er
```


Name the least stable of them. ii.